Entry from the Alexandria database: a relaxed Al2Os2Ru crystal (PBE-GGA).

Cell lengths 7.0671, 7.0671, 2.8550 Å; angles 90.00, 90.00, 90.00 degrees
Positions (direct):
Ru 0.0000 0.0000 0.0000
Ru 0.5000 0.5000 0.0000
Os 0.1714 0.6714 0.5000
Os 0.6714 0.8286 0.5000
Os 0.8286 0.3286 0.5000
Os 0.3286 0.1714 0.5000
Al 0.3709 0.8709 0.0000
Al 0.8709 0.6291 0.0000
Al 0.6291 0.1291 0.0000
Al 0.1291 0.3709 0.0000

The value obtained for the energy above the most stable polymorph in this dataset is 0 meV per atom. Its formation energy is 30 meV/atom. The density of states at the Fermi level comes out at 9.12 states/eV/cell. The total energy is -7.8138 eV/atom.

***

Entry from the Alexandria database: a relaxed AlOs2Ru crystal (PBE-GGA).

Cell lengths 4.6962, 4.6962, 4.6962 Å; angles 131.64, 131.64, 70.81 degrees
Positions (direct):
Ru 0.5000 0.5000 0.0000
Os 0.0000 0.0000 0.0000
Os 0.2500 0.7500 0.5000
Al 0.7500 0.2500 0.5000

Its formation energy is -13 meV/atom. The density of states at the Fermi level comes out at 4.98 states/eV/cell. The total energy is -8.8829 eV/atom.

***

Entry from the Alexandria database: a relaxed AlOs2Ru crystal (PBE-GGA).

Cell lengths 8.8282, 8.8282, 8.8282 Å; angles 17.89, 17.89, 17.89 degrees
Positions (direct):
Ru 0.2500 0.2500 0.2500
Os 0.0006 0.0006 0.0006
Os 0.4994 0.4994 0.4994
Al 0.7500 0.7500 0.7500

Its formation energy is -40 meV/atom. The density of states at the Fermi level comes out at 2.13 states/eV/cell. The total energy is -8.9093 eV/atom.

***

Entry from the Alexandria database: a relaxed Al6OsRu5 crystal (PBE-GGA).

Cell lengths 4.2536, 6.0119, 6.7248 Å; angles 90.00, 71.56, 90.00 degrees
Positions (direct):
Ru 0.6673 0.5000 0.6655
Ru 0.3343 0.0000 0.3313
Ru 0.0000 0.5000 0.0000
Ru 0.6657 0.0000 0.6687
Ru 0.3327 0.5000 0.3345
Os 0.0000 0.0000 0.0000
Al 0.8328 0.7498 0.3343
Al 0.8328 0.2502 0.3343
Al 0.5000 0.2528 0.0000
Al 0.5000 0.7472 0.0000
Al 0.1672 0.7498 0.6657
Al 0.1672 0.2502 0.6657

Its formation energy is -619 meV/atom. The density of states at the Fermi level comes out at 11.07 states/eV/cell. The total energy is -7.2906 eV/atom.